K5PmO4 after structural relaxation, computed with PBE-GGA.

a = 8.5358 Å, b = 8.5358 Å, c = 7.3666 Å
α = 107.36°, β = 107.36°, γ = 25.71°
Sites, in units of the cell vectors:
1 K 0.0000 0.0000 0.0000
2 K 0.3321 0.3321 0.6080
3 K 0.3408 0.3408 0.1530
4 K 0.6592 0.6592 0.8470
5 K 0.6679 0.6679 0.3920
6 Pm 0.0000 0.0000 0.5000
7 O 0.1536 0.1536 0.6200
8 O 0.4976 0.4976 0.7164
9 O 0.5024 0.5024 0.2836
10 O 0.8464 0.8464 0.3800

space group = C2/m
magnetization = 0.02 μB/atom
raw formation energy = -1.598 eV/atom



K3PmPr2O6 after structural relaxation, computed with PBE-GGA.

a = 6.3337 Å, b = 6.3337 Å, c = 6.6576 Å
α = 99.12°, β = 99.12°, γ = 120.00°
Sites, in units of the cell vectors:
1 K 0.0000 0.0000 0.0000
2 K 0.3343 0.6657 0.0000
3 K 0.6657 0.3343 0.0000
4 Pm 0.5000 0.5000 0.5000
5 Pr 0.1667 0.8333 0.5000
6 Pr 0.8333 0.1667 0.5000
7 O 0.1071 0.4361 0.3084
8 O 0.2347 0.2347 0.6913
9 O 0.4361 0.1071 0.3084
10 O 0.5639 0.8929 0.6916
11 O 0.7653 0.7653 0.3087
12 O 0.8929 0.5639 0.6916

space group = C2/m
magnetization = 0.00 μB/atom
raw formation energy = -2.599 eV/atom



K2PmPrO4 after structural relaxation, computed with PBE-GGA.

a = 6.3135 Å, b = 3.6448 Å, c = 6.6522 Å
α = 90.00°, β = 108.42°, γ = 90.00°
Sites, in units of the cell vectors:
1 K 0.0000 0.0000 0.0000
2 K 0.5000 0.5000 0.0000
3 Pm 0.0000 0.5000 0.5000
4 Pr 0.5000 0.0000 0.5000
5 O 0.2265 0.0000 0.6906
6 O 0.2658 0.5000 0.3083
7 O 0.7342 0.5000 0.6917
8 O 0.7735 0.0000 0.3094

space group = P2/m
magnetization = 0.00 μB/atom
raw formation energy = -2.610 eV/atom



KPmPtO4 after structural relaxation, computed with PBE-GGA.

a = 6.8348 Å, b = 6.8348 Å, c = 6.8348 Å
α = 122.25°, β = 114.80°, γ = 92.69°
Sites, in units of the cell vectors:
1 K 0.3853 0.1353 0.2500
2 K 0.6147 0.8647 0.7500
3 Pm 0.0000 0.5000 0.5000
4 Pm 0.5000 0.5000 0.0000
5 Pt 0.0000 0.0000 0.5000
6 Pt 0.0000 0.5000 0.0000
7 O 0.1752 0.2495 0.9257
8 O 0.1762 0.7505 0.4257
9 O 0.2204 0.2530 0.5326
10 O 0.2204 0.6879 0.9674
11 O 0.7796 0.3121 0.0326
12 O 0.7796 0.7470 0.4674
13 O 0.8238 0.2495 0.5743
14 O 0.8248 0.7505 0.0743

space group = Imma
magnetization = 0.00 μB/atom
raw formation energy = -1.701 eV/atom



K3Pm2PtO6 after structural relaxation, computed with PBE-GGA.

a = 6.0604 Å, b = 6.0604 Å, c = 6.5534 Å
α = 98.38°, β = 98.38°, γ = 120.45°
Sites, in units of the cell vectors:
1 K 0.0000 0.0000 0.0000
2 K 0.3417 0.6583 0.0000
3 K 0.6583 0.3417 0.0000
4 Pm 0.1697 0.8303 0.5000
5 Pm 0.8303 0.1697 0.5000
6 Pt 0.5000 0.5000 0.5000
7 O 0.1005 0.4334 0.2982
8 O 0.2544 0.2544 0.6765
9 O 0.4334 0.1005 0.2982
10 O 0.5666 0.8995 0.7018
11 O 0.7456 0.7456 0.3235
12 O 0.8995 0.5666 0.7018

space group = C2/m
magnetization = 0.08 μB/atom
raw formation energy = -1.936 eV/atom



K2PmPtO6 after structural relaxation, computed with PBE-GGA.

a = 6.0244 Å, b = 6.0244 Å, c = 6.0244 Å
α = 60.00°, β = 60.00°, γ = 60.00°
Sites, in units of the cell vectors:
1 K 0.2500 0.2500 0.2500
2 K 0.7500 0.7500 0.7500
3 Pm 0.0000 0.0000 0.0000
4 Pt 0.5000 0.5000 0.5000
5 O 0.2707 0.2707 0.7293
6 O 0.2707 0.7293 0.2707
7 O 0.2707 0.7293 0.7293
8 O 0.7293 0.2707 0.2707
9 O 0.7293 0.2707 0.7293
10 O 0.7293 0.7293 0.2707

space group = Fm-3m
magnetization = 0.27 μB/atom
raw formation energy = -1.435 eV/atom



KPm4Pt3O12 after structural relaxation, computed with PBE-GGA.

a = 7.3592 Å, b = 7.3592 Å, c = 7.3592 Å
α = 109.47°, β = 109.47°, γ = 109.47°
Sites, in units of the cell vectors:
1 K 0.0000 0.0000 0.0000
2 Pm 0.0000 0.0000 0.5000
3 Pm 0.0000 0.5000 0.0000
4 Pm 0.5000 0.0000 0.0000
5 Pm 0.5000 0.5000 0.5000
6 Pt 0.0000 0.5000 0.5000
7 Pt 0.5000 0.0000 0.5000
8 Pt 0.5000 0.5000 0.0000
9 O 0.1567 0.4848 0.3281
10 O 0.1567 0.8286 0.6719
11 O 0.1714 0.3281 0.8433
12 O 0.3281 0.1567 0.4848
13 O 0.3281 0.8433 0.1714
14 O 0.4848 0.3281 0.1567
15 O 0.5152 0.6719 0.8433
16 O 0.6719 0.1567 0.8286
17 O 0.6719 0.8433 0.5152
18 O 0.8286 0.6719 0.1567
19 O 0.8433 0.1714 0.3281
20 O 0.8433 0.5152 0.6719

space group = Im-3
magnetization = 0.25 μB/atom
raw formation energy = -1.930 eV/atom



K3Pm3PtO8 after structural relaxation, computed with PBE-GGA.

a = 7.4771 Å, b = 7.4771 Å, c = 7.4771 Å
α = 55.80°, β = 55.80°, γ = 55.80°
Sites, in units of the cell vectors:
1 K 0.0000 0.5000 0.5000
2 K 0.5000 0.0000 0.5000
3 K 0.5000 0.5000 0.0000
4 Pm 0.0000 0.0000 0.5000
5 Pm 0.0000 0.5000 0.0000
6 Pm 0.5000 0.0000 0.0000
7 Pt 0.5000 0.5000 0.5000
8 O 0.2293 0.2293 0.2293
9 O 0.2577 0.7095 0.7095
10 O 0.2905 0.2905 0.7423
11 O 0.2905 0.7423 0.2905
12 O 0.7095 0.2577 0.7095
13 O 0.7095 0.7095 0.2577
14 O 0.7423 0.2905 0.2905
15 O 0.7707 0.7707 0.7707

space group = R-3m
magnetization = 0.00 μB/atom
raw formation energy = -2.211 eV/atom